No. 1
Material: Tb4Si2N
Method: DFT, GGA-PBE
State: relaxed

a b c (Å): 6.212 6.212 8.151
angles (deg): 123.85 123.85 36.25
Fractional positions:
Tb1 0.082 0.082 0.348
Tb2 0.341 0.341 0.923
Tb3 0.659 0.659 0.077
Tb4 0.918 0.918 0.652
Si1 0.388 0.388 0.337
Si2 0.612 0.612 0.663
N1 0.000 0.000 0.000

Results
Space group: C2/m
Energy above the lowest structure with this stoichiometry (kcal/mol of atoms): 0.000
Formation energy (no corrections) (eV/atom): -0.881


No. 2
Material: Tb3SiN4
Method: DFT, GGA-PBE
State: relaxed

a b c (Å): 7.366 6.483 5.218
angles (deg): 90.00 90.00 90.00
Fractional positions:
Tb1 0.000 0.155 0.000
Tb2 0.249 0.666 0.000
Tb3 0.251 0.334 0.500
Tb4 0.500 0.845 0.500
Tb5 0.749 0.334 0.500
Tb6 0.751 0.666 0.000
Si1 0.000 0.833 0.463
Si2 0.500 0.167 0.963
N1 0.000 0.105 0.545
N2 0.000 0.832 0.124
N3 0.204 0.700 0.550
N4 0.296 0.300 0.050
N5 0.500 0.168 0.624
N6 0.500 0.895 0.045
N7 0.704 0.300 0.050
N8 0.796 0.700 0.550

Results
Space group: Pmn2_1
Formation energy (no corrections) (eV/atom): -1.305


No. 3
Material: Tb4Si2N
Method: DFT, GGA-PBE
State: relaxed

a b c (Å): 8.447 8.447 8.447
angles (deg): 148.54 148.54 45.09
Fractional positions:
Tb1 0.000 0.500 0.500
Tb2 0.178 0.178 0.000
Tb3 0.500 0.000 0.500
Tb4 0.822 0.822 0.000
Si1 0.366 0.366 0.000
Si2 0.634 0.634 0.000
N1 0.500 0.500 0.000

Results
Space group: I4/mmm
Energy above the lowest structure with this stoichiometry (kcal/mol of atoms): 8.934
Formation energy (no corrections) (eV/atom): -0.494


No. 4
Material: TbTh2SiN5
Method: DFT, GGA-PBE
State: relaxed

a b c (Å): 6.667 6.667 5.772
angles (deg): 90.00 90.00 90.00
Fractional positions:
Tb1 0.000 0.000 0.000
Tb2 0.500 0.500 0.000
Th1 0.178 0.322 0.500
Th2 0.322 0.822 0.500
Th3 0.678 0.178 0.500
Th4 0.822 0.678 0.500
Si1 0.000 0.500 0.000
Si2 0.500 0.000 0.000
N1 0.000 0.000 0.500
N2 0.138 0.638 0.218
N3 0.138 0.638 0.782
N4 0.362 0.138 0.218
N5 0.362 0.138 0.782
N6 0.500 0.500 0.500
N7 0.638 0.862 0.218
N8 0.638 0.862 0.782
N9 0.862 0.362 0.218
N10 0.862 0.362 0.782

Results
Space group: P4/mbm
Formation energy (no corrections) (eV/atom): -1.173


No. 5
Material: Si2Tc2N
Method: DFT, GGA-PBE
State: relaxed

a b c (Å): 5.682 5.682 3.878
angles (deg): 90.00 90.00 90.00
Fractional positions:
Si1 0.155 0.345 0.000
Si2 0.345 0.845 0.000
Si3 0.655 0.155 0.000
Si4 0.845 0.655 0.000
Tc1 0.165 0.665 0.500
Tc2 0.335 0.165 0.500
Tc3 0.665 0.835 0.500
Tc4 0.835 0.335 0.500
N1 0.000 0.000 0.000
N2 0.500 0.500 0.000

Results
Space group: P4/mbm
Energy above the lowest structure with this stoichiometry (kcal/mol of atoms): 0.000
Formation energy (no corrections) (eV/atom): 0.603


No. 6
Material: SiTcN2
Method: DFT, GGA-PBE
State: relaxed

a b c (Å): 6.325 6.325 6.325
angles (deg): 25.90 25.90 25.90
Fractional positions:
Si1 0.000 0.000 0.000
Tc1 0.500 0.500 0.500
N1 0.096 0.096 0.096
N2 0.904 0.904 0.904

Results
Space group: R-3m
Formation energy (no corrections) (eV/atom): 0.047


No. 7
Material: Si2Tc2N
Method: DFT, GGA-PBE
State: relaxed

a b c (Å): 6.384 6.384 6.384
angles (deg): 147.35 147.35 46.85
Fractional positions:
Si1 0.097 0.097 0.000
Si2 0.903 0.903 0.000
Tc1 0.250 0.750 0.500
Tc2 0.750 0.250 0.500
N1 0.500 0.500 0.000

Results
Space group: I4/mmm
Energy above the lowest structure with this stoichiometry (kcal/mol of atoms): 12.114
Formation energy (no corrections) (eV/atom): 1.128


No. 8
Material: SiTc2N
Method: DFT, GGA-PBE
State: relaxed

a b c (Å): 5.939 5.939 5.939
angles (deg): 129.18 129.18 74.71
Fractional positions:
Si1 0.000 0.000 0.000
Si2 0.750 0.250 0.500
Tc1 0.199 0.625 0.074
Tc2 0.375 0.449 0.574
Tc3 0.551 0.125 0.926
Tc4 0.875 0.801 0.426
N1 0.250 0.750 0.500
N2 0.500 0.500 0.000

Results
Space group: I-42d
Energy above the lowest structure with this stoichiometry (kcal/mol of atoms): 0.000
Formation energy (no corrections) (eV/atom): 0.275


No. 9
Material: SiTc2N
Method: DFT, GGA-PBE
State: relaxed

a b c (Å): 4.070 4.070 4.070
angles (deg): 60.00 60.00 60.00
Fractional positions:
Si1 0.000 0.000 0.000
Tc1 0.250 0.250 0.250
Tc2 0.750 0.750 0.750
N1 0.500 0.500 0.500

Results
Space group: Fm-3m
Energy above the lowest structure with this stoichiometry (kcal/mol of atoms): 6.863
Formation energy (no corrections) (eV/atom): 0.573


No. 10
Material: SiTcN3
Method: DFT, GGA-PBE
State: relaxed

a b c (Å): 3.884 3.884 3.884
angles (deg): 90.00 90.00 90.00
Fractional positions:
Si1 0.000 0.000 0.000
Tc1 0.500 0.500 0.500
N1 0.000 0.500 0.500
N2 0.500 0.000 0.500
N3 0.500 0.500 0.000

Results
Space group: Pm-3m
Formation energy (no corrections) (eV/atom): 1.098


No. 11
Material: SiTcN3
Method: DFT, GGA-PBE
State: relaxed

a b c (Å): 3.561 3.561 3.561
angles (deg): 90.00 90.00 90.00
Fractional positions:
Si1 0.000 0.000 0.000
Tc1 0.500 0.500 0.500
N1 0.000 0.000 0.500
N2 0.000 0.500 0.000
N3 0.500 0.000 0.000

Results
Space group: Pm-3m
Formation energy (no corrections) (eV/atom): 0.697


No. 12
Material: Si3TcN
Method: DFT, GGA-PBE
State: relaxed

a b c (Å): 4.618 4.618 4.618
angles (deg): 90.00 90.00 90.00
Fractional positions:
Si1 0.000 0.000 0.500
Si2 0.000 0.500 0.000
Si3 0.500 0.000 0.000
Tc1 0.000 0.000 0.000
N1 0.500 0.500 0.500

Results
Space group: Pm-3m
Energy above the lowest structure with this stoichiometry (kcal/mol of atoms): 16.007
Formation energy (no corrections) (eV/atom): 1.185


No. 13
Material: SiTcN2
Method: DFT, GGA-PBE
State: relaxed

a b c (Å): 5.212 5.212 5.212
angles (deg): 127.99 127.99 76.64
Fractional positions:
Si1 0.000 0.000 0.000
Si2 0.750 0.250 0.500
Tc1 0.250 0.750 0.500
Tc2 0.500 0.500 0.000
N1 0.059 0.625 0.934
N2 0.375 0.309 0.434
N3 0.691 0.125 0.066
N4 0.875 0.941 0.566

Results
Space group: I-42d
Formation energy (no corrections) (eV/atom): -0.241


No. 14
Material: Si2TcN
Method: DFT, GGA-PBE
State: relaxed

a b c (Å): 5.163 5.163 5.163
angles (deg): 115.86 115.86 97.34
Fractional positions:
Si1 0.040 0.625 0.915
Si2 0.375 0.290 0.415
Si3 0.710 0.125 0.085
Si4 0.875 0.960 0.585
Tc1 0.250 0.750 0.500
Tc2 0.500 0.500 0.000
N1 0.000 0.000 0.000
N2 0.750 0.250 0.500

Results
Space group: I-42d
Formation energy (no corrections) (eV/atom): 0.047


No. 15
Material: Si3TcN
Method: DFT, GGA-PBE
State: relaxed

a b c (Å): 3.923 3.923 3.923
angles (deg): 90.00 90.00 90.00
Fractional positions:
Si1 0.000 0.000 0.500
Si2 0.000 0.500 0.000
Si3 0.500 0.000 0.000
Tc1 0.500 0.500 0.500
N1 0.000 0.000 0.000

Results
Space group: Pm-3m
Energy above the lowest structure with this stoichiometry (kcal/mol of atoms): 0.000
Formation energy (no corrections) (eV/atom): 0.491


No. 16
Material: SiTc3N
Method: DFT, GGA-PBE
State: relaxed

a b c (Å): 4.019 4.019 4.019
angles (deg): 90.00 90.00 90.00
Fractional positions:
Si1 0.000 0.000 0.000
Tc1 0.000 0.500 0.500
Tc2 0.500 0.000 0.500
Tc3 0.500 0.500 0.000
N1 0.500 0.500 0.500

Results
Space group: Pm-3m
Energy above the lowest structure with this stoichiometry (kcal/mol of atoms): 0.000
Formation energy (no corrections) (eV/atom): 0.026


No. 17
Material: SiTcN2
Method: DFT, GGA-PBE
State: relaxed

a b c (Å): 6.215 6.215 6.215
angles (deg): 25.81 25.81 25.81
Fractional positions:
Si1 0.000 0.000 0.000
Tc1 0.500 0.500 0.500
N1 0.390 0.390 0.390
N2 0.610 0.610 0.610

Results
Space group: R-3m
Formation energy (no corrections) (eV/atom): -0.181


No. 18
Material: SiTcTeN2
Method: DFT, GGA-PBE
State: relaxed

a b c (Å): 3.578 3.578 7.247
angles (deg): 90.00 90.00 90.00
Fractional positions:
Si1 0.000 0.000 0.000
Tc1 0.500 0.500 0.500
Te1 0.000 0.000 0.500
N1 0.000 0.500 0.000
N2 0.500 0.000 0.000

Results
Space group: P4/mmm
Energy above the lowest structure with this stoichiometry (kcal/mol of atoms): 6.576
Formation energy (no corrections) (eV/atom): 1.102


No. 19
Material: SiTcTeN2
Method: DFT, GGA-PBE
State: relaxed

a b c (Å): 3.900 3.900 5.635
angles (deg): 90.00 90.00 90.00
Fractional positions:
Si1 0.000 0.000 0.000
Tc1 0.500 0.500 0.500
Te1 0.500 0.500 0.000
N1 0.000 0.500 0.500
N2 0.500 0.000 0.500

Results
Space group: P4/mmm
Energy above the lowest structure with this stoichiometry (kcal/mol of atoms): 0.000
Formation energy (no corrections) (eV/atom): 0.816


No. 20
Material: ThSiTc2N
Method: DFT, GGA-PBE
State: relaxed

a b c (Å): 6.005 6.005 7.372
angles (deg): 90.00 90.00 143.18
Fractional positions:
Th1 0.045 0.955 0.750
Th2 0.955 0.045 0.250
Si1 0.233 0.767 0.250
Si2 0.767 0.233 0.750
Tc1 0.332 0.668 0.559
Tc2 0.332 0.668 0.941
Tc3 0.668 0.332 0.059
Tc4 0.668 0.332 0.441
N1 0.500 0.500 0.000
N2 0.500 0.500 0.500

Results
Space group: Cmcm
Formation energy (no corrections) (eV/atom): -0.757


No. 21
Material: SiTeN2
Method: DFT, GGA-PBE
State: relaxed

a b c (Å): 6.529 6.529 6.529
angles (deg): 26.47 26.47 26.47
Fractional positions:
Si1 0.000 0.000 0.000
Te1 0.500 0.500 0.500
N1 0.383 0.383 0.383
N2 0.617 0.617 0.617

Results
Space group: R-3m
Energy above the lowest structure with this stoichiometry (kcal/mol of atoms): 0.000
Formation energy (no corrections) (eV/atom): 0.044


No. 22
Material: SiTe2N2
Method: DFT, GGA-PBE
State: relaxed

a b c (Å): 6.437 6.437 6.437
angles (deg): 145.83 145.83 49.09
Fractional positions:
Si1 0.000 0.000 0.000
Te1 0.348 0.348 0.000
Te2 0.652 0.652 0.000
N1 0.250 0.750 0.500
N2 0.750 0.250 0.500

Results
Space group: I4/mmm
Energy above the lowest structure with this stoichiometry (kcal/mol of atoms): 1.860
Formation energy (no corrections) (eV/atom): 1.161


No. 23
Material: SiTe2N
Method: DFT, GGA-PBE
State: relaxed

a b c (Å): 7.550 7.550 7.550
angles (deg): 31.87 31.87 31.87
Fractional positions:
Si1 0.000 0.000 0.000
Te1 0.409 0.409 0.409
Te2 0.591 0.591 0.591
N1 0.500 0.500 0.500

Results
Space group: R-3m
Energy above the lowest structure with this stoichiometry (kcal/mol of atoms): 0.000
Formation energy (no corrections) (eV/atom): 0.876


No. 24
Material: SiTe2N
Method: DFT, GGA-PBE
State: relaxed

a b c (Å): 4.685 4.685 4.685
angles (deg): 60.00 60.00 60.00
Fractional positions:
Si1 0.000 0.000 0.000
Te1 0.250 0.250 0.250
Te2 0.750 0.750 0.750
N1 0.500 0.500 0.500

Results
Space group: Fm-3m
Energy above the lowest structure with this stoichiometry (kcal/mol of atoms): 9.898
Formation energy (no corrections) (eV/atom): 1.305


No. 25
Material: Si3TeN
Method: DFT, GGA-PBE
State: relaxed

a b c (Å): 4.310 4.310 4.310
angles (deg): 90.00 90.00 90.00
Fractional positions:
Si1 0.000 0.000 0.500
Si2 0.000 0.500 0.000
Si3 0.500 0.000 0.000
Te1 0.500 0.500 0.500
N1 0.000 0.000 0.000

Results
Space group: Pm-3m
Energy above the lowest structure with this stoichiometry (kcal/mol of atoms): 0.000
Formation energy (no corrections) (eV/atom): 0.777


No. 26
Material: SiTeN3
Method: DFT, GGA-PBE
State: relaxed

a b c (Å): 3.681 3.681 3.681
angles (deg): 90.00 90.00 90.00
Fractional positions:
Si1 0.000 0.000 0.000
Te1 0.500 0.500 0.500
N1 0.000 0.000 0.500
N2 0.000 0.500 0.000
N3 0.500 0.000 0.000

Results
Space group: Pm-3m
Formation energy (no corrections) (eV/atom): 0.735


No. 27
Material: SiTe2N2
Method: DFT, GGA-PBE
State: relaxed

a b c (Å): 5.623 5.623 3.235
angles (deg): 90.00 90.00 90.00
Fractional positions:
Si1 0.000 0.000 0.000
Te1 0.000 0.500 0.000
Te2 0.500 0.000 0.000
N1 0.000 0.000 0.500
N2 0.500 0.500 0.500

Results
Space group: P4/mmm
Energy above the lowest structure with this stoichiometry (kcal/mol of atoms): 3.590
Formation energy (no corrections) (eV/atom): 1.236